(1)
Here is a relaxed structure of UTl from Alexandria via LeMat-Bulk. Energies are from GGA-PBE.

Its volume is 24.88 Å³/atom. The calculation puts the formation energy at 0.26 eV/atom. As for the density of states at the Fermi level: 2.12 states/eV/atom.

The structure belongs to space group P2_1/m (No. 11); the cell edges are 3.787, 3.785 and 6.989 Å and the angles 90.00°, 96.57° and 90.00°. The asymmetric unit holds U at (0.185, 0.250, 0.077) and Tl at (0.263, 0.250, 0.624).



(2)
Here is a relaxed structure of UTl from Alexandria via LeMat-Bulk. Energies are from GGA-PBE.

Its volume is 24.35 Å³/atom. The calculation puts the formation energy at 0.31 eV/atom. As for the density of states at the Fermi level: 2.01 states/eV/atom.

The structure belongs to space group P-6m2 (No. 187); the cell edges are 3.1259, 3.1259 and 5.7559 Å and the angles 90.00°, 90.00° and 120.00°. The asymmetric unit holds U at (0.0000, 0.0000, 0.0000) and Tl at (0.3333, 0.6667, 0.5000).



(3)
Here is a relaxed structure of U6Tl from Alexandria via LeMat-Bulk. Energies are from GGA-PBE.

Its volume is 26.26 Å³/atom. The calculation puts the formation energy at 1.06 eV/atom. As for the density of states at the Fermi level: 3.46 states/eV/atom.

The structure belongs to space group Im-3m (No. 229); the cell edges are 7.164, 7.164 and 7.164 Å and the angles 90.00°, 90.00° and 90.00°. The asymmetric unit holds U at (0.000, 0.250, 0.500) and Tl at (0.000, 0.000, 0.000).



(4)
Here is a relaxed structure of UTl3 from Alexandria via LeMat-Bulk. Energies are from GGA-PBE.

Its volume is 26.83 Å³/atom. The calculation puts the formation energy at 0.23 eV/atom. As for the density of states at the Fermi level: 1.18 states/eV/atom.

The structure belongs to space group Pm-3m (No. 221); the cell edges are 4.752, 4.752 and 4.752 Å and the angles 90.00°, 90.00° and 90.00°. The asymmetric unit holds U at (0.000, 0.000, 0.000) and Tl at (0.000, 0.500, 0.500).



(5)
Here is a relaxed structure of Zr2UTl from Alexandria via LeMat-Bulk. Energies are from GGA-PBE.

Its volume is 22.65 Å³/atom. The calculation puts the formation energy at 0.18 eV/atom. For the energy above the most stable polymorph in this dataset, the calculation gives 38 meV per atom. As for the density of states at the Fermi level: 2.09 states/eV/atom.

The structure belongs to space group P4/mmm (No. 123); the cell edges are 3.639, 3.639 and 6.843 Å and the angles 90.00°, 90.00° and 90.00°. The asymmetric unit holds Zr at (0.000, 0.000, 0.234), U at (0.500, 0.500, 0.000) and Tl at (0.500, 0.500, 0.500).



(6)
Here is a relaxed structure of Zr2UTl from Alexandria via LeMat-Bulk. Energies are from GGA-PBE.

Its volume is 22.86 Å³/atom. The calculation puts the formation energy at 0.14 eV/atom. For the energy above the most stable polymorph in this dataset, the calculation gives 0 meV per atom. As for the density of states at the Fermi level: 1.91 states/eV/atom.

The structure belongs to space group P4/mmm (No. 123); the cell edges are 4.768, 4.768 and 4.024 Å and the angles 90.00°, 90.00° and 90.00°. The asymmetric unit holds Zr at (0.000, 0.500, 0.000), U at (0.000, 0.000, 0.500) and Tl at (0.500, 0.500, 0.500).



Look up the volume of the third one. 26.26 Å³/atom



Repeat the fifth record exactly.
Here is a relaxed structure of Zr2UTl from Alexandria via LeMat-Bulk. Energies are from GGA-PBE.

Its volume is 22.65 Å³/atom. The calculation puts the formation energy at 0.18 eV/atom. For the energy above the most stable polymorph in this dataset, the calculation gives 38 meV per atom. As for the density of states at the Fermi level: 2.09 states/eV/atom.

The structure belongs to space group P4/mmm (No. 123); the cell edges are 3.639, 3.639 and 6.843 Å and the angles 90.00°, 90.00° and 90.00°. The asymmetric unit holds Zr at (0.000, 0.000, 0.234), U at (0.500, 0.500, 0.000) and Tl at (0.500, 0.500, 0.500).



The lowest volume belongs to which entry? number 5